Record 1
Rb2NaCeF6 after structural relaxation. Source: Alexandria via LeMat-Bulk, functional GGA-PBEsol.

## Properties
Total magnetic moment ... 1.00 μB per formula unit
Calculated total energy ... -53.61 eV for the cell shown
Energy relative to the elements, uncorrected ... -3.200 eV per atom
Calculated density ... 4.05 g cm⁻³

abc: 6.3790 6.3790 6.3790
angles: 60.00 60.00 60.00
Atoms (fractional coordinates):
Rb1 0.2500 0.2500 0.2500
Rb2 0.7500 0.7500 0.7500
Na1 0.0000 0.0000 0.0000
Ce1 0.5000 0.5000 0.5000
F1 0.2496 0.2496 0.7504
F2 0.2496 0.7504 0.2496
F3 0.2496 0.7504 0.7504
F4 0.7504 0.2496 0.2496
F5 0.7504 0.2496 0.7504
F6 0.7504 0.7504 0.2496

Record 2
Ta2TcSe after structural relaxation. Source: Alexandria via LeMat-Bulk, functional GGA-PBEsol.

## Properties
Total magnetic moment ... 0.00 μB per formula unit
Calculated total energy ... -40.19 eV for the cell shown
Energy relative to the elements, uncorrected ... 0.006 eV per atom
Calculated density ... 13.89 g cm⁻³

abc: 3.2097 4.2545 4.7164
angles: 90.00 90.00 90.00
Atoms (fractional coordinates):
Ta1 0.0000 0.0000 0.0000
Ta2 0.5000 0.0000 0.5000
Tc1 0.0000 0.5000 0.5000
Se1 0.5000 0.5000 0.0000

Record 3
Mg2Cd3 after structural relaxation. Source: Alexandria via LeMat-Bulk, functional GGA-PBEsol.

## Properties
E above lowest polymorph ... 0.0655 eV/atom
Total magnetic moment ... 0.00 μB per formula unit
Calculated total energy ... -6.98 eV for the cell shown
E_form ... 0.0 eV per formula unit
Calculated density ... 5.61 g cm⁻³

abc: 4.7625 4.7625 5.8176
angles: 90.00 90.00 120.00
Atoms (fractional coordinates):
Mg1 0.3333 0.6667 0.3536
Mg2 0.6667 0.3333 0.6464
Cd1 0.0000 0.0000 0.5000
Cd2 0.3333 0.6667 0.8662
Cd3 0.6667 0.3333 0.1338